Entry 1:
Material: Cr4SbOs
Method: DFT, PBE
State: relaxed

Cell lengths 4.844, 4.844, 4.844 Å; angles 60.00, 60.00, 60.00 degrees
Positions (direct):
Cr 0.881 0.373 0.373
Cr 0.373 0.881 0.373
Cr 0.373 0.373 0.881
Cr 0.373 0.373 0.373
Sb 0.000 0.000 0.000
Os 0.750 0.750 0.750

Summary:
**Raw formation energy**: 0.305 eV/atom
**Theoretical density**: 10.7 g/cm3
**DOS(E_F)**: 1.017 states/eV per atom



Entry 2:
Material: CrSbOs2
Method: DFT, PBE
State: relaxed

Cell lengths 2.977, 4.585, 4.513 Å; angles 90.00, 90.00, 90.00 degrees
Positions (direct):
Os 0.500 0.500 0.000
Os 0.000 0.000 0.000
Sb 0.500 0.000 0.500
Cr 0.000 0.500 0.500

Summary:
**Raw formation energy**: 0.622 eV/atom
**Theoretical density**: 14.9 g/cm3
**DOS(E_F)**: 1.062 states/eV per atom



Entry 3:
Material: CrSbOs2
Method: DFT, PBE
State: relaxed

Cell lengths 3.200, 4.408, 4.408 Å; angles 90.00, 90.00, 90.00 degrees
Positions (direct):
Sb 0.500 0.500 0.000
Os 0.000 0.000 0.000
Os 0.000 0.500 0.500
Cr 0.500 0.000 0.500

Summary:
**Raw formation energy**: 0.406 eV/atom
**Theoretical density**: 14.8 g/cm3
**DOS(E_F)**: 0.484 states/eV per atom



> Which of these has the lowest DOS(E_F)?

number 3